Record 1
A plane-wave DFT calculation with GGA-PBE was carried out for a relaxed Re2TePt crystal.

As for the formation energy (no corrections): 0.6376 eV/atom.

a b c (Å): 3.228 3.228 6.440
angles (deg): 90.00 90.00 90.02
Element x y z (fractional)
Pt 0.500 0.500 0.750
Re 0.000 0.000 0.981
Re 0.000 0.000 0.519
Te 0.500 0.500 0.250

***

Record 2
A plane-wave DFT calculation with GGA-PBE was carried out for a relaxed ReTePt2 crystal.

As for the formation energy (no corrections): 0.3385 eV/atom.

a b c (Å): 4.750 4.750 5.177
angles (deg): 77.87 77.87 38.63
Element x y z (fractional)
Pt 0.005 0.005 0.976
Pt 0.761 0.761 0.736
Re 0.505 0.505 0.541
Te 0.230 0.230 0.247

***

Record 3
A plane-wave DFT calculation with GGA-PBE was carried out for a relaxed ReTe2Pt crystal.

As for the energy above the most stable polymorph in this dataset: 0.77 eV per formula unit. As for the formation energy (no corrections): 0.3986 eV/atom.

a b c (Å): 8.114 8.114 8.114
angles (deg): 24.42 24.42 24.42
Element x y z (fractional)
Pt 0.250 0.250 0.250
Re 0.750 0.750 0.750
Te 0.001 0.001 0.001
Te 0.499 0.499 0.499

***

Record 4
A plane-wave DFT calculation with GGA-PBE was carried out for a relaxed Re2TePt crystal.

As for the formation energy (no corrections): 0.5734 eV/atom.

a b c (Å): 4.741 4.741 5.238
angles (deg): 77.73 77.73 37.23
Element x y z (fractional)
Pt 0.250 0.250 0.250
Re 0.999 0.999 0.044
Re 0.501 0.501 0.456
Te 0.750 0.750 0.750

***

Record 5
A plane-wave DFT calculation with GGA-PBE was carried out for a relaxed Th2RePt crystal.

Its formation enthalpy at 0 K is 392 meV per atom. As for the energy above the most stable polymorph in this dataset: 3.37 eV per formula unit.

a b c (Å): 3.608 3.608 9.575
angles (deg): 79.14 79.14 60.00
Element x y z (fractional)
Re 0.000 0.000 0.000
Pt 0.500 0.500 0.500
Th 0.092 0.092 0.723
Th 0.908 0.908 0.277

***

Record 6
A plane-wave DFT calculation with GGA-PBE was carried out for a relaxed Th2RePt crystal.

Its formation enthalpy at 0 K is -451 meV per atom. As for the energy above the most stable polymorph in this dataset: 0.00 eV per formula unit.

a b c (Å): 3.551 3.551 7.425
angles (deg): 90.00 90.00 90.00
Element x y z (fractional)
Re 0.500 0.500 0.000
Pt 0.500 0.500 0.500
Th 0.000 0.000 0.759
Th 0.000 0.000 0.241

***

Record 7
A plane-wave DFT calculation with GGA-PBE was carried out for a relaxed Th5Re2Pt2 crystal.

Its formation enthalpy at 0 K is -507 meV per atom.

a b c (Å): 7.821 7.755 8.461
angles (deg): 90.00 62.47 90.00
Element x y z (fractional)
Th 0.000 0.000 0.000
Th 0.500 0.500 0.000
Th 0.456 0.171 0.731
Th 0.813 0.829 0.731
Th 0.313 0.671 0.731
Th 0.956 0.329 0.731
Th 0.544 0.829 0.269
Th 0.187 0.171 0.269
Th 0.687 0.329 0.269
Th 0.044 0.671 0.269
Re 0.120 0.379 0.000
Re 0.880 0.621 0.000
Re 0.380 0.879 0.000
Re 0.620 0.121 0.000
Pt 0.210 0.000 0.579
Pt 0.710 0.500 0.579
Pt 0.790 0.000 0.421
Pt 0.290 0.500 0.421

***

Record 8
A plane-wave DFT calculation with GGA-PBE was carried out for a relaxed Ti4Re3Pt crystal.

Its formation enthalpy at 0 K is -589 meV per atom.

a b c (Å): 3.135 4.423 8.796
angles (deg): 90.00 90.00 90.00
Element x y z (fractional)
Re 0.500 0.000 0.246
Re 0.500 0.500 0.500
Re 0.500 0.000 0.754
Pt 0.500 0.500 0.000
Ti 0.000 0.000 0.500
Ti 0.000 0.500 0.743
Ti 0.000 0.000 0.000
Ti 0.000 0.500 0.257

***

Record 9
A plane-wave DFT calculation with GGA-PBE was carried out for a relaxed Ti4RePt crystal.

Its formation enthalpy at 0 K is -168 meV per atom.

a b c (Å): 4.340 4.341 7.370
angles (deg): 72.91 72.88 60.01
Element x y z (fractional)
Ti 0.628 0.628 0.117
Ti 0.372 0.372 0.883
Ti 0.123 0.122 0.632
Ti 0.877 0.878 0.368
Re 0.000 0.000 0.000
Pt 0.500 0.500 0.500

***

Record 10
A plane-wave DFT calculation with GGA-PBE was carried out for a relaxed TiRe2Pt crystal.

Its formation enthalpy at 0 K is 246 meV per atom. As for the energy above the most stable polymorph in this dataset: 0.53 eV per formula unit.

a b c (Å): 3.730 3.730 9.970
angles (deg): 79.22 79.22 90.00
Element x y z (fractional)
Re 0.595 0.125 0.250
Re 0.155 0.625 0.250
Re 0.375 0.405 0.750
Re 0.875 0.845 0.750
Pt 0.000 0.000 0.000
Pt 0.750 0.250 0.500
Ti 0.500 0.500 0.000
Ti 0.250 0.750 0.500

***

Record 11
A plane-wave DFT calculation with GGA-PBE was carried out for a relaxed Ti2RePt crystal.

Its formation enthalpy at 0 K is -734 meV per atom. As for the energy above the most stable polymorph in this dataset: 0.00 eV per formula unit.

a b c (Å): 3.170 3.170 6.149
angles (deg): 90.00 90.00 90.00
Element x y z (fractional)
Re 0.000 0.000 0.500
Pt 0.000 0.000 0.000
Ti 0.500 0.500 0.260
Ti 0.500 0.500 0.740

***

Record 12
A plane-wave DFT calculation with GGA-PBE was carried out for a relaxed Ti3Re2Pt crystal.

Its formation enthalpy at 0 K is -649 meV per atom.

a b c (Å): 3.145 3.145 9.317
angles (deg): 90.00 90.00 90.00
Element x y z (fractional)
Ti 0.000 0.000 0.000
Ti 0.000 0.000 0.676
Ti 0.000 0.000 0.324
Re 0.500 0.500 0.831
Re 0.500 0.500 0.169
Pt 0.500 0.500 0.500